No. 1
The following is a GGA-PBEsol calculation of crystalline Co2AsRh at its relaxed geometry, from Alexandria via LeMat-Bulk.

Cell and atoms, written as POSCAR:
```
Co2AsRh
1.0
-1.837 1.837 3.516
1.837 -1.837 3.516
1.837 1.837 -3.516
Co As Rh
2 1 1
Direct
0.000 0.000 0.000
0.750 0.250 0.500
0.250 0.750 0.500
0.500 0.500 0.000
```

VASP energy   -7.25 eV per atom
Formation enthalpy at 0 K   -0.07 eV per atom
Symmetry   I-4m2, No. 119
Magnetic moment   2.23 μB per formula unit

No. 2
The following is a GGA-PBEsol calculation of crystalline Mg2CrAu at its relaxed geometry, from Alexandria via LeMat-Bulk.

Cell and atoms, written as POSCAR:
```
Mg2CrAu
1.0
-2.055 2.055 4.110
2.055 -2.055 4.110
2.055 2.055 -4.110
Mg Cr Au
2 1 1
Direct
0.000 0.000 0.000
0.750 0.250 0.500
0.250 0.750 0.500
0.500 0.500 0.000
```

VASP energy   -4.39 eV per atom
Formation enthalpy at 0 K   0.01 eV per atom
Symmetry   I-4m2, No. 119
Magnetic moment   4.14 μB per formula unit

No. 3
The following is a GGA-PBEsol calculation of crystalline DySi2Pt2 at its relaxed geometry, from Alexandria via LeMat-Bulk.

Cell and atoms, written as POSCAR:
```
DySi2Pt2
1.0
4.140 0.000 0.000
0.000 4.140 0.000
0.000 0.000 9.810
Dy Si Pt
2 4 4
Direct
0.250 0.250 0.246
0.750 0.750 0.754
0.250 0.250 0.635
0.250 0.750 0.000
0.750 0.250 0.000
0.750 0.750 0.365
0.250 0.250 0.875
0.250 0.750 0.500
0.750 0.250 0.500
0.750 0.750 0.125
```

VASP energy   -7.23 eV per atom
Symmetry   P4/nmm, No. 129
Formation energy without anion corrections   -5.738 eV per formula unit
Magnetic moment   0.00 μB per formula unit

No. 4
The following is a GGA-PBEsol calculation of crystalline Li6TeO6 at its relaxed geometry, from Alexandria via LeMat-Bulk.

Cell and atoms, written as POSCAR:
```
Li6TeO6
1.0
2.875 1.660 4.488
-2.875 1.660 4.488
0.000 -3.319 4.488
Li Te O
6 1 6
Direct
0.014 0.215 0.580
0.215 0.580 0.014
0.420 0.986 0.785
0.580 0.014 0.215
0.785 0.420 0.986
0.986 0.785 0.420
0.500 0.500 0.500
0.153 0.395 0.704
0.296 0.847 0.605
0.395 0.704 0.153
0.605 0.296 0.847
0.704 0.153 0.395
0.847 0.605 0.296
```

VASP energy   -5.39 eV per atom
Symmetry   R-3, No. 148
Formation energy without anion corrections   -23.219 eV per formula unit
Magnetic moment   0.00 μB per formula unit

No. 5
The following is a GGA-PBEsol calculation of crystalline Er2Al3Ge4 at its relaxed geometry, from Alexandria via LeMat-Bulk.

Cell and atoms, written as POSCAR:
```
Er2Al3Ge4
1.0
2.919 -7.254 0.000
2.919 7.254 0.000
0.000 0.000 7.861
Er Al Ge
4 6 8
Direct
0.115 0.885 0.922
0.385 0.615 0.422
0.615 0.385 0.578
0.885 0.115 0.078
0.000 0.000 0.500
0.034 0.466 0.750
0.466 0.034 0.250
0.500 0.500 0.000
0.534 0.966 0.750
0.966 0.534 0.250
0.184 0.816 0.553
0.207 0.293 0.750
0.293 0.207 0.250
0.316 0.684 0.053
0.684 0.316 0.947
0.707 0.793 0.750
0.793 0.707 0.250
0.816 0.184 0.447
```

VASP energy   -5.11 eV per atom
Formation enthalpy at 0 K   -0.45 eV per atom
Symmetry   Cmce, No. 64
Magnetic moment   0.00 μB per formula unit

No. 6
The following is a GGA-PBEsol calculation of crystalline BiRu3Se at its relaxed geometry, from Alexandria via LeMat-Bulk.

Cell and atoms, written as POSCAR:
```
BiRu3Se
1.0
4.542 0.000 0.000
0.000 4.542 0.000
0.000 0.000 4.542
Bi Ru Se
1 3 1
Direct
0.000 0.000 0.000
0.000 0.500 0.500
0.500 0.000 0.500
0.500 0.500 0.000
0.500 0.500 0.500
```

VASP energy   -6.85 eV per atom
Symmetry   Pm-3m, No. 221
Formation energy without anion corrections   4.397 eV per formula unit
Magnetic moment   0.00 μB per formula unit

No. 7
The following is a GGA-PBEsol calculation of crystalline Ba2MgZr at its relaxed geometry, from Alexandria via LeMat-Bulk.

Cell and atoms, written as POSCAR:
```
Ba2MgZr
1.0
-2.569 2.569 5.167
2.569 -2.569 5.167
2.569 2.569 -5.167
Ba Mg Zr
2 1 1
Direct
0.250 0.750 0.500
0.750 0.250 0.500
0.000 0.000 0.000
0.500 0.500 0.000
```

VASP energy   -3.27 eV per atom
Formation enthalpy at 0 K   0.51 eV per atom
Symmetry   I4/mmm, No. 139
Magnetic moment   0.00 μB per formula unit

No. 8
The following is a GGA-PBEsol calculation of crystalline Sr3TaCoO7 at its relaxed geometry, from Alexandria via LeMat-Bulk.

Cell and atoms, written as POSCAR:
```
Sr3TaCoO7
1.0
-1.958 1.958 10.144
1.958 -1.958 10.144
1.958 1.958 -10.144
Sr Ta Co O
3 1 1 7
Direct
0.000 0.000 0.000
0.161 0.161 0.000
0.790 0.790 0.000
0.389 0.389 0.000
0.584 0.584 0.000
0.078 0.578 0.500
0.288 0.288 0.000
0.384 0.884 0.500
0.483 0.483 0.000
0.578 0.078 0.500
0.676 0.676 0.000
0.884 0.384 0.500
```

VASP energy   -7.78 eV per atom
Symmetry   I4mm, No. 107
Formation energy without anion corrections   -30.812 eV per formula unit
Magnetic moment   1.04 μB per formula unit

No. 9
The following is a GGA-PBEsol calculation of crystalline BaSrI4 at its relaxed geometry, from Alexandria via LeMat-Bulk.

Cell and atoms, written as POSCAR:
```
BaSrI4
1.0
2.851 1.646 9.263
-2.851 1.646 9.263
0.000 -3.292 9.263
Ba Sr I
1 1 4
Direct
0.000 0.000 0.000
0.500 0.500 0.500
0.128 0.128 0.128
0.378 0.378 0.378
0.622 0.622 0.622
0.872 0.872 0.872
```

VASP energy   -3.55 eV per atom
Symmetry   R-3m, No. 166
Formation energy without anion corrections   -10.264 eV per formula unit
Magnetic moment   0.00 μB per formula unit

No. 10
The following is a GGA-PBEsol calculation of crystalline KLaCo at its relaxed geometry, from Alexandria via LeMat-Bulk.

Cell and atoms, written as POSCAR:
```
KLaCo
1.0
0.000 3.369 3.369
3.369 0.000 3.369
3.369 3.369 0.000
K La Co
1 1 1
Direct
0.000 0.000 0.000
0.250 0.250 0.250
0.500 0.500 0.500
```

VASP energy   -3.61 eV per atom
Formation enthalpy at 0 K   1.13 eV per atom
Symmetry   F-43m, No. 216
Magnetic moment   0.00 μB per formula unit

No. 11
The following is a GGA-PBEsol calculation of crystalline Lu2MgRu at its relaxed geometry, from Alexandria via LeMat-Bulk.

Cell and atoms, written as POSCAR:
```
Lu2MgRu
1.0
0.000 3.426 3.426
3.426 0.000 3.426
3.426 3.426 0.000
Lu Mg Ru
2 1 1
Direct
0.250 0.250 0.250
0.750 0.750 0.750
0.000 0.000 0.000
0.500 0.500 0.500
```

VASP energy   -5.63 eV per atom
Formation enthalpy at 0 K   -0.22 eV per atom
Symmetry   Fm-3m, No. 225
Magnetic moment   0.00 μB per formula unit

No. 12
The following is a GGA-PBEsol calculation of crystalline Fe2SbRh at its relaxed geometry, from Alexandria via LeMat-Bulk.

Cell and atoms, written as POSCAR:
```
Fe2SbRh
1.0
0.000 3.026 3.026
3.026 0.000 3.026
3.026 3.026 0.000
Fe Sb Rh
2 1 1
Direct
0.000 0.000 0.000
0.250 0.250 0.250
0.500 0.500 0.500
0.750 0.750 0.750
```

VASP energy   -7.68 eV per atom
Symmetry   F-43m, No. 216
Formation energy without anion corrections   -0.094 eV per formula unit
Magnetic moment   5.31 μB per formula unit

No. 13
The following is a GGA-PBEsol calculation of crystalline ZrScRe2 at its relaxed geometry, from Alexandria via LeMat-Bulk.

Cell and atoms, written as POSCAR:
```
ZrScRe2
1.0
3.200 0.000 0.000
0.000 4.467 0.000
0.000 0.000 4.671
Zr Sc Re
1 1 2
Direct
0.000 0.000 0.000
0.500 0.000 0.500
0.000 0.500 0.500
0.500 0.500 0.000
```

VASP energy   -10.58 eV per atom
Formation enthalpy at 0 K   0.01 eV per atom
Symmetry   Pmmm, No. 47
Magnetic moment   0.00 μB per formula unit